# 1
First-principles (GGA-PBE) data for Er3Tm2Mg7 after structural relaxation, as listed in the Alexandria database.

## Properties
- Total magnetization: 0.00 μB per formula unit

Cell: 5.1725 3.5478 17.9275 Å, 90.00 98.03 90.00°
Space group P2/m (No. 10)
Symmetry-distinct sites (fractional):
Er  0.0000  0.0000  0.0000
Er  0.3127  0.5000  0.6308
Tm  0.1478  0.0000  0.2872
Mg  0.0775  0.5000  0.1413
Mg  0.2312  0.0000  0.4597
Mg  0.4102  0.0000  0.8348
Mg  0.5000  0.5000  0.0000

# 2
First-principles (GGA-PBE) data for LaPm3Sm2Te6 after structural relaxation, as listed in the Alexandria database.

## Properties
- Total magnetization: 0.00 μB per formula unit
- Energy relative to the elements, uncorrected: -17.2 eV/f.u.

Cell: 19.5031 4.4656 8.9924 Å, 90.00 103.22 90.00°
Space group C2/m (No. 12)
Symmetry-distinct sites (fractional):
La  0.0000  0.0000  0.0000
Pm  0.0000  0.0000  0.5000
Pm  0.1646  0.5000  0.8313
Sm  0.1673  0.5000  0.3341
Te  0.0018  0.5000  0.2557
Te  0.1670  0.0000  0.5820
Te  0.1695  0.0000  0.0857

# 3
First-principles (GGA-PBE) data for TaSi2Te after structural relaxation, as listed in the Alexandria database.

## Properties
- Total magnetization: 0.00 μB per formula unit
- Energy relative to the elements, uncorrected: 0.5 eV/f.u.

Cell: 3.4188 3.3597 6.4108 Å, 90.00 90.37 90.00°
Space group P2/m (No. 10)
Symmetry-distinct sites (fractional):
Ta  0.0000  0.0000  0.0000
Si  0.4980  0.5000  0.8078
Te  0.0000  0.0000  0.5000

# 4
First-principles (GGA-PBE) data for Dy4In after structural relaxation, as listed in the Alexandria database.

## Properties
- Total magnetization: 0.00 μB per formula unit
- Energy above the lowest structure with this stoichiometry: 0 meV per atom

Cell: 5.2228 6.7669 16.3578 Å, 90.00 90.00 90.00°
Space group Imma (No. 74)
Symmetry-distinct sites (fractional):
Dy  0.0000  0.0000  0.0000
Dy  0.0000  0.0065  0.1974
Dy  0.0000  0.2500  0.6049
In  0.0000  0.2500  0.3888

no.,energy (eV for the cell shown)
1,-32.8
2,-129.3
3,-25.3
4,-87.0